[1]
Nd2V2Fe15 (PBE, optimized geometry); M_tot = 28.6 μB/f.u.; ΔH_f (0 K) = 5 meV per atom; space-group type = R-3m (166)
1.0
4.241 2.449 4.193
-4.241 2.449 4.193
0.000 -4.897 4.193
Nd V Fe
2 2 15
direct
0.154 0.154 0.154
0.846 0.846 0.846
0.404 0.404 0.404
0.596 0.596 0.596
0.000 0.500 0.500
0.161 0.161 0.655
0.161 0.655 0.161
0.205 0.500 0.795
0.205 0.795 0.500
0.345 0.839 0.839
0.500 0.000 0.500
0.500 0.205 0.795
0.500 0.500 0.000
0.500 0.795 0.205
0.655 0.161 0.161
0.795 0.205 0.500
0.795 0.500 0.205
0.839 0.345 0.839
0.839 0.839 0.345

***

[2]
NdVFe2 (PBE, optimized geometry); M_tot = 3.1 μB/f.u.; ΔH_f (0 K) = 550 meV per atom; space-group type = R-3m (166)
1.0
1.517 0.876 8.418
-1.517 0.876 8.418
0.000 -1.751 8.418
Nd V Fe
1 1 2
direct
0.000 0.000 0.000
0.500 0.500 0.500
0.233 0.233 0.233
0.767 0.767 0.767

***

[3]
NdVFe4 (PBE, optimized geometry); M_tot = 5.8 μB/f.u.; ΔH_f (0 K) = 126 meV per atom; space-group type = F-43m (216)
1.0
0.000 3.561 3.561
3.561 0.000 3.561
3.561 3.561 0.000
Nd V Fe
1 1 4
direct
0.000 0.000 0.000
0.750 0.750 0.750
0.376 0.376 0.376
0.376 0.376 0.871
0.376 0.871 0.376
0.871 0.376 0.376

***

[4]
NdY3Fe8 (PBE, optimized geometry); M_tot = 14.4 μB/f.u.; ΔH_f (0 K) = -27 meV per atom; space-group type = R3m (160)
1.0
2.591 1.496 8.468
-2.591 1.496 8.468
0.000 -2.992 8.468
Nd Y Fe
1 3 8
direct
0.000 0.000 0.000
0.125 0.125 0.125
0.500 0.500 0.500
0.625 0.625 0.625
0.062 0.062 0.560
0.062 0.560 0.062
0.065 0.563 0.563
0.312 0.312 0.312
0.560 0.062 0.062
0.563 0.065 0.563
0.563 0.563 0.065
0.813 0.813 0.813